PuBeCl6 (PBE-GGA, optimized geometry); final energy = -5.00 eV/atom; DOS(E_F) = 5.83 states/eV/cell; space-group type = R-3, No. 148; crystal system = trigonal; formation energy from raw total energies = -1361.9 meV/atom
1.0
-4.408 3.406 2.962
-6.104 -0.935 -1.287
-3.772 -3.096 4.671
Pu Be Cl
1 1 6
direct
0.500 0.500 0.500 Pu
0.000 0.000 0.000 Be
0.099 0.365 0.768 Cl
0.768 0.099 0.768 Cl
0.635 0.232 0.232 Cl
0.232 0.901 0.232 Cl
0.901 0.635 0.232 Cl
0.365 0.768 0.768 Cl